Record 1
A plane-wave DFT calculation with PBE was carried out for BaSeN after structural relaxation.

```
data_BaSeN
_cell_length_a 10.6344
_cell_length_b 4.6572
_cell_length_c 9.2937
_cell_angle_alpha 90.00
_cell_angle_beta 100.04
_cell_angle_gamma 90.00
_space_group_name_H-M_alt 'P 1 21/c 1'
_space_group_IT_number 14
loop_
_space_group_symop_operation_xyz
'x,y,z'
'-x,-y,-z'
'-x,y+1/2,-z+1/2'
'x,-y+1/2,z+1/2'
loop_
_atom_site_label
_atom_site_fract_x
_atom_site_fract_y
_atom_site_fract_z
Ba1 0.1536 0.2504 0.4055
Se1 0.1589 0.7499 0.1567
N1 0.4519 0.0499 0.4855
```

Properties
Total magnetization, Bohr magnetons per cell: 0.00
Calculated total energy, eV per atom: -5.85
ΔE to the lowest computed polymorph, meV per atom: 0.0
ρ, g cm⁻³: 3.37
Energy relative to the elements, uncorrected, meV per atom: -1269


Record 2
A plane-wave DFT calculation with PBE was carried out for BaSeN after structural relaxation.

```
data_BaSeN
_cell_length_a 9.4681
_cell_length_b 4.4376
_cell_length_c 8.4587
_cell_angle_alpha 90.00
_cell_angle_beta 116.34
_cell_angle_gamma 90.00
_space_group_name_H-M_alt 'C 1 2/m 1'
_space_group_IT_number 12
loop_
_space_group_symop_operation_xyz
'x,y,z'
'-x,-y,-z'
'-x,y,-z'
'x,-y,z'
'x+1/2,y+1/2,z'
'-x+1/2,-y+1/2,-z'
'-x+1/2,y+1/2,-z'
'x+1/2,-y+1/2,z'
loop_
_atom_site_label
_atom_site_fract_x
_atom_site_fract_y
_atom_site_fract_z
Ba1 0.0835 0.0000 0.2870
Se1 0.1346 0.5000 0.0142
N1 0.0701 0.5000 0.5126
```

Properties
Total magnetization, Bohr magnetons per cell: 3.57
Calculated total energy, eV per atom: -5.37
ΔE to the lowest computed polymorph, meV per atom: 478.0
ρ, g cm⁻³: 4.80
Energy relative to the elements, uncorrected, meV per atom: -791


Copy entry 1 word for word.
A plane-wave DFT calculation with PBE was carried out for BaSeN after structural relaxation.

```
data_BaSeN
_cell_length_a 10.6344
_cell_length_b 4.6572
_cell_length_c 9.2937
_cell_angle_alpha 90.00
_cell_angle_beta 100.04
_cell_angle_gamma 90.00
_space_group_name_H-M_alt 'P 1 21/c 1'
_space_group_IT_number 14
loop_
_space_group_symop_operation_xyz
'x,y,z'
'-x,-y,-z'
'-x,y+1/2,-z+1/2'
'x,-y+1/2,z+1/2'
loop_
_atom_site_label
_atom_site_fract_x
_atom_site_fract_y
_atom_site_fract_z
Ba1 0.1536 0.2504 0.4055
Se1 0.1589 0.7499 0.1567
N1 0.4519 0.0499 0.4855
```

Properties
Total magnetization, Bohr magnetons per cell: 0.00
Calculated total energy, eV per atom: -5.85
ΔE to the lowest computed polymorph, meV per atom: 0.0
ρ, g cm⁻³: 3.37
Energy relative to the elements, uncorrected, meV per atom: -1269